Entry P
VASP calculation (PBE) on a geometry-optimized Tl2GaAs2 structure.

Crystal system   tetragonal
DOS at the Fermi energy   2.90 states/eV/f.u.

Unit cell a=6.8193 b=6.8193 c=5.6945 alpha=90.00 beta=90.00 gamma=90.00
With the nearest neighbours (Å) after each atom.
Fractional positions:
Tl1 0.1830 0.3170 0.0000  6 As 3.38-3.57, 5 Tl 3.53
Tl2 0.3170 0.8170 0.0000  6 As 3.38-3.57, 5 Tl 3.53
Tl3 0.6830 0.1830 0.0000  6 As 3.38-3.57, 5 Tl 3.53
Tl4 0.8170 0.6830 0.0000  6 As 3.38-3.57, 5 Tl 3.53
Ga1 0.0000 0.0000 0.5000  4 As 2.68
Ga2 0.5000 0.5000 0.5000  4 As 2.68
As1 0.1285 0.6285 0.5000  1 As 2.48, 2 Ga 2.68
As2 0.3715 0.1285 0.5000  1 As 2.48, 2 Ga 2.68
As3 0.6285 0.8715 0.5000  1 As 2.48, 2 Ga 2.68
As4 0.8715 0.3715 0.5000  1 As 2.48, 2 Ga 2.68



Entry Q
VASP calculation (PBE) on a geometry-optimized Tl2GaAs2 structure.

Crystal system   tetragonal
DOS at the Fermi energy   2.54 states/eV/f.u.

Unit cell a=9.2692 b=9.2692 c=9.2692 alpha=156.13 beta=156.13 gamma=34.01
With the nearest neighbours (Å) after each atom.
Fractional positions:
Tl1 0.1034 0.1034 0.0000  4 As 3.23, 4 Ga 3.27
Tl2 0.8966 0.8966 0.0000  4 As 3.23, 4 Ga 3.27
Ga1 0.5000 0.5000 0.0000  8 Tl 3.27
As1 0.2500 0.7500 0.5000  4 As 2.71
As2 0.7500 0.2500 0.5000  4 As 2.71



Short version: entry P is the most stable of them.



Entry P
VASP calculation (PBE) on a geometry-optimized TlGaAs structure.

Crystal system   orthorhombic
DOS at the Fermi energy   1.73 states/eV/f.u.

Unit cell a=8.4836 b=8.4836 c=8.4836 alpha=149.93 beta=144.38 gamma=47.29
With the nearest neighbours (Å) after each atom.
Fractional positions:
Tl1 0.1599 0.1599 0.0000  5 As 3.23-3.43, 4 Ga 3.54
Tl2 0.8401 0.8401 0.0000  5 As 3.23-3.43, 4 Ga 3.54
Ga1 0.2369 0.5000 0.7369  2 Ga 2.46-2.73, 2 As 2.46
Ga2 0.7631 0.5000 0.2631  2 Ga 2.46-2.73, 2 As 2.46
As1 0.3681 0.3681 0.0000  2 Ga 2.46
As2 0.6319 0.6319 0.0000  2 Ga 2.46



Entry Q
VASP calculation (PBE) on a geometry-optimized TlGaAs structure.

Crystal system   trigonal
DOS at the Fermi energy   1.46 states/eV/f.u.

Unit cell a=4.0273 b=4.0273 c=5.5018 alpha=90.00 beta=90.00 gamma=120.00
With the nearest neighbours (Å) after each atom.
Fractional positions:
Tl1 0.0000 0.0000 0.0000  3 Ga 3.21, 3 As 3.29
Ga1 0.3333 0.6667 0.4031  3 As 2.51
As1 0.6667 0.3333 0.5760  3 Ga 2.51



Short version: entry Q is the most stable of them.